(1)
Compound: TmSiNi4
Source: Alexandria
Functional: PBE-GGA
Structure: optimized geometry

Properties
Total DFT energy (no corrections) = -6.016 eV/atom
ΔE_f (raw) = -0.513 eV/atom
Space group = Pmma (51)

abc: 3.5722 6.4735 7.0678
angles: 90.00 90.00 90.00
With the nearest neighbours (Å) after each atom.
Fractional positions:
1 Ni 0.0000 0.0000 0.5000  2 Si 2.22
2 Ni 0.5000 0.7052 0.4415  2 Si 2.31, 1 Ni 2.56
3 Ni 0.5000 0.2948 0.5585  2 Si 2.31, 1 Ni 2.56
4 Ni 0.5000 0.0403 0.2500  2 Si 2.40, 6 Ni 2.53-2.56
5 Ni 0.5000 0.9597 0.7500  2 Si 2.40, 6 Ni 2.53-2.56
6 Ni 0.0000 0.0000 0.0000  2 Si 2.22
7 Ni 0.5000 0.2948 0.9415  2 Si 2.31, 1 Ni 2.56
8 Ni 0.5000 0.7052 0.0585  2 Si 2.31, 1 Ni 2.56
9 Si 0.0000 0.7934 0.2500  8 Ni 2.22-2.40
10 Si 0.0000 0.2066 0.7500  8 Ni 2.22-2.40
11 Tm 0.0000 0.6368 0.7500  8 Ni 2.75-2.94, 1 Si 2.79
12 Tm 0.0000 0.3632 0.2500  8 Ni 2.75-2.94, 1 Si 2.79


(2)
Compound: Tm2Si3Ni
Source: Alexandria
Functional: PBE-GGA
Structure: optimized geometry

Properties
Total DFT energy (no corrections) = -5.941 eV/atom
ΔE_f (raw) = -0.775 eV/atom
Space group = Pmm2 (25)

abc: 3.9374 4.0112 6.8050
angles: 90.00 90.00 90.00
With the nearest neighbours (Å) after each atom.
Fractional positions:
1 Si 0.5000 0.0000 0.1816  2 Ni 2.23, 1 Si 2.34
2 Si 0.5000 0.5000 0.6523  1 Ni 2.22, 2 Si 2.37
3 Si 0.5000 0.0000 0.8375  3 Si 2.34-2.37
4 Tm 0.0000 0.5000 0.0019  2 Ni 2.96, 10 Si 3.03-3.09
5 Tm 0.0000 0.0000 0.5002  8 Si 2.93-3.02, 4 Ni 3.05
6 Ni 0.5000 0.5000 0.3264  3 Si 2.22-2.23


(3)
Compound: TmSi2Ni4
Source: Alexandria
Functional: PBE-GGA
Structure: optimized geometry

Properties
Total DFT energy (no corrections) = -6.171 eV/atom
ΔE_f (raw) = -0.680 eV/atom
Space group = P4_2/mnm (136)

abc: 3.6222 7.1782 7.1782
angles: 90.00 90.00 90.00
With the nearest neighbours (Å) after each atom.
Fractional positions:
1 Ni 0.5000 0.1640 0.5832  3 Si 2.33-2.34, 5 Ni 2.57-2.60
2 Ni 0.5000 0.4168 0.8360  3 Si 2.33-2.34, 5 Ni 2.57-2.60
3 Ni 0.0000 0.3360 0.0832  3 Si 2.33-2.34, 5 Ni 2.57-2.60
4 Ni 0.0000 0.9168 0.6640  3 Si 2.33-2.34, 5 Ni 2.57-2.60
5 Ni 0.5000 0.8360 0.4168  3 Si 2.33-2.34, 5 Ni 2.57-2.60
6 Ni 0.0000 0.6640 0.9168  3 Si 2.33-2.34, 5 Ni 2.57-2.60
7 Ni 0.0000 0.0832 0.3360  3 Si 2.33-2.34, 5 Ni 2.57-2.60
8 Ni 0.5000 0.5832 0.1640  3 Si 2.33-2.34, 5 Ni 2.57-2.60
9 Si 0.0000 0.7779 0.2221  6 Ni 2.33-2.34
10 Si 0.0000 0.2221 0.7779  6 Ni 2.33-2.34
11 Si 0.5000 0.2779 0.2779  6 Ni 2.33-2.34
12 Si 0.5000 0.7221 0.7221  6 Ni 2.33-2.34
13 Tm 0.5000 0.0000 0.0000  6 Si 2.82-2.89, 8 Ni 3.07
14 Tm 0.0000 0.5000 0.5000  6 Si 2.82-2.89, 8 Ni 3.07


(4)
Compound: Tm2SiNi7
Source: Alexandria
Functional: PBE-GGA
Structure: optimized geometry

Properties
Total DFT energy (no corrections) = -5.493 eV/atom
ΔE_f (raw) = -0.009 eV/atom
Space group = Fm-3m (225)

abc: 6.0755 6.0755 6.0755
angles: 60.00 60.00 60.00
With the nearest neighbours (Å) after each atom.
Fractional positions:
1 Ni 0.7555 0.2445 0.2445  1 Si 2.10, 1 Ni 2.20
2 Ni 0.2445 0.2445 0.7555  1 Si 2.10, 1 Ni 2.20
3 Ni 0.2445 0.7555 0.7555  1 Si 2.10, 1 Ni 2.20
4 Ni 0.2445 0.7555 0.2445  1 Si 2.10, 1 Ni 2.20
5 Ni 0.7555 0.7555 0.2445  1 Si 2.10, 1 Ni 2.20
6 Ni 0.7555 0.2445 0.7555  1 Si 2.10, 1 Ni 2.20
7 Ni 0.5000 0.5000 0.5000  6 Ni 2.20
8 Tm 0.7500 0.7500 0.7500  12 Ni 3.04
9 Tm 0.2500 0.2500 0.2500  12 Ni 3.04
10 Si 0.0000 0.0000 0.0000  6 Ni 2.10


(5)
Compound: TmSi2Ni9
Source: Alexandria
Functional: PBE-GGA
Structure: optimized geometry

Properties
Total DFT energy (no corrections) = -6.099 eV/atom
ΔE_f (raw) = -0.486 eV/atom
Space group = I4_1/amd (141)

abc: 6.1420 7.5511 7.5511
angles: 80.48 66.00 66.00
With the nearest neighbours (Å) after each atom.
Fractional positions:
1 Ni 0.7387 0.5784 0.8256  2 Si 2.33-2.36, 8 Ni 2.41-2.60
2 Ni 0.6829 0.5784 0.1744  2 Si 2.33-2.36, 8 Ni 2.41-2.60
3 Ni 0.7387 0.8256 0.5784  2 Si 2.33-2.36, 8 Ni 2.41-2.60
4 Ni 0.1427 0.1744 0.4216  2 Si 2.33-2.36, 8 Ni 2.41-2.60
5 Ni 0.4357 0.4216 0.8256  2 Si 2.33-2.36, 8 Ni 2.41-2.60
6 Ni 0.3143 0.6744 0.0784  2 Si 2.33-2.36, 8 Ni 2.41-2.60
7 Ni 0.0113 0.9216 0.6744  2 Si 2.33-2.36, 8 Ni 2.41-2.60
8 Ni 0.0671 0.9216 0.3256  2 Si 2.33-2.36, 8 Ni 2.41-2.60
9 Ni 0.1427 0.4216 0.1744  2 Si 2.33-2.36, 8 Ni 2.41-2.60
10 Ni 0.6073 0.0784 0.3256  2 Si 2.33-2.36, 8 Ni 2.41-2.60
11 Ni 0.0113 0.6744 0.9216  2 Si 2.33-2.36, 8 Ni 2.41-2.60
12 Ni 0.7500 0.5000 0.5000  4 Si 2.56, 8 Ni 2.59
13 Ni 0.6073 0.3256 0.0784  2 Si 2.33-2.36, 8 Ni 2.41-2.60
14 Ni 0.3143 0.0784 0.6744  2 Si 2.33-2.36, 8 Ni 2.41-2.60
15 Ni 0.0000 0.0000 0.0000  4 Si 2.56, 8 Ni 2.59
16 Ni 0.0671 0.3256 0.9216  2 Si 2.33-2.36, 8 Ni 2.41-2.60
17 Ni 0.6829 0.1744 0.5784  2 Si 2.33-2.36, 8 Ni 2.41-2.60
18 Ni 0.4357 0.8256 0.4216  2 Si 2.33-2.36, 8 Ni 2.41-2.60
19 Si 0.8750 0.2500 0.7500  10 Ni 2.33-2.56
20 Si 0.8750 0.2500 0.2500  10 Ni 2.33-2.56
21 Si 0.3750 0.7500 0.7500  10 Ni 2.33-2.56
22 Si 0.8750 0.7500 0.2500  10 Ni 2.33-2.56
23 Tm 0.5000 0.0000 0.0000  18 Ni 2.99-3.17
24 Tm 0.2500 0.5000 0.5000  18 Ni 2.99-3.17


(6)
Compound: Tm3Si7Ni2
Source: Alexandria
Functional: PBE-GGA
Structure: optimized geometry

Properties
Total DFT energy (no corrections) = -5.881 eV/atom
ΔE_f (raw) = -0.636 eV/atom
Space group = P2/m (10)

abc: 3.9927 4.0278 12.3181
angles: 98.69 90.00 90.00
With the nearest neighbours (Å) after each atom.
Fractional positions:
1 Si 0.0000 0.3566 0.8255  2 Ni 2.27
2 Si 0.5000 0.9095 0.8246  2 Ni 2.25-2.28
3 Si 0.0000 0.6434 0.1745  2 Ni 2.27
4 Si 0.5000 0.0905 0.1754  2 Ni 2.25-2.28
5 Si 0.0000 0.0000 0.0000  6 Si 2.76-2.92, 4 Tm 2.84
6 Si 0.5000 0.7261 0.4468  1 Ni 2.27, 2 Si 2.39-2.40
7 Si 0.5000 0.2739 0.5532  1 Ni 2.27, 2 Si 2.39-2.40
8 Ni 0.5000 0.3748 0.7394  5 Si 2.25-2.28
9 Ni 0.5000 0.6252 0.2606  5 Si 2.25-2.28
10 Tm 0.0000 0.8076 0.6321  10 Si 2.99-3.21, 4 Ni 3.08-3.17
11 Tm 0.5000 0.5000 0.0000  12 Si 2.84-2.96, 2 Ni 3.17
12 Tm 0.0000 0.1924 0.3679  10 Si 2.99-3.21, 4 Ni 3.08-3.17


(7)
Compound: Tm2SiNi
Source: Alexandria
Functional: PBE-GGA
Structure: optimized geometry

Properties
Total DFT energy (no corrections) = -5.535 eV/atom
ΔE_f (raw) = -0.498 eV/atom
Space group = P4/mmm (123)

abc: 3.5918 4.6774 4.6774
angles: 90.00 90.00 90.00
With the nearest neighbours (Å) after each atom.
Fractional positions:
1 Si 0.5000 0.0000 0.0000  8 Tm 2.95
2 Tm 0.0000 0.0000 0.5000  4 Ni 2.95, 4 Si 2.95
3 Tm 0.0000 0.5000 0.0000  4 Ni 2.95, 4 Si 2.95
4 Ni 0.5000 0.5000 0.5000  8 Tm 2.95


(8)
Compound: Tm2SiNi
Source: Alexandria
Functional: PBE-GGA
Structure: optimized geometry

Properties
Total DFT energy (no corrections) = -4.795 eV/atom
ΔE_f (raw) = 0.242 eV/atom
Space group = R-3m (166)

abc: 3.3800 3.3800 9.2778
angles: 79.50 79.50 60.00
With the nearest neighbours (Å) after each atom.
Fractional positions:
1 Tm 0.9087 0.9087 0.2739  1 Ni 2.48
2 Tm 0.0913 0.0913 0.7261  1 Ni 2.48
3 Si 0.5000 0.5000 0.5000  6 Tm 2.83
4 Ni 0.0000 0.0000 0.0000  2 Tm 2.48


(9)
Compound: Tm3Si3Ni
Source: Alexandria
Functional: PBE-GGA
Structure: optimized geometry

Properties
Total DFT energy (no corrections) = -5.900 eV/atom
ΔE_f (raw) = -0.833 eV/atom
Space group = C2/m (12)

abc: 5.5149 5.5149 13.3627
angles: 71.11 71.11 44.15
With the nearest neighbours (Å) after each atom.
Fractional positions:
1 Si 0.1151 0.1151 0.9242  2 Si 2.48-2.51
2 Si 0.1356 0.1356 0.4570  3 Ni 2.38-2.51, 1 Si 2.60
3 Si 0.0457 0.0457 0.7636  1 Ni 2.45, 1 Si 2.48
4 Si 0.9543 0.9543 0.2364  1 Ni 2.45, 1 Si 2.48
5 Si 0.8644 0.8644 0.5430  3 Ni 2.38-2.51, 1 Si 2.60
6 Si 0.8849 0.8849 0.0758  2 Si 2.48-2.51
7 Tm 0.2530 0.2530 0.2274  6 Si 2.88-3.01, 2 Ni 3.13
8 Tm 0.6014 0.6014 0.0788  7 Si 2.88-3.04
9 Tm 0.7470 0.7470 0.7726  6 Si 2.88-3.01, 2 Ni 3.13
10 Tm 0.4711 0.4711 0.3798  6 Si 2.87-3.07, 4 Ni 2.98-3.00
11 Tm 0.3986 0.3986 0.9212  7 Si 2.88-3.04
12 Tm 0.5289 0.5289 0.6202  6 Si 2.87-3.07, 4 Ni 2.98-3.00
13 Ni 0.2471 0.2471 0.5968  4 Si 2.38-2.51
14 Ni 0.7529 0.7529 0.4032  4 Si 2.38-2.51


> Among the records above, which one has the lowest ΔE_f (raw)?

Tm3Si3Ni


> The highest total DFT energy (no corrections) belongs to which entry?

number 8


> Which value of total DFT energy (no corrections) does entry 5 give?

-6.099 eV/atom